Record 1
ScReW2: optimized geometry, GGA-PBE.

* calculated formation energy: 67 kJ/mol of formula units
* space group: P4/mmm

a b c (Å): 4.566 4.566 3.143
angles (deg): 90.00 90.00 90.00
Fractional coordinates of all 4 atoms:
W1 0.500 0.500 0.000
Sc1 0.000 0.500 0.500
Re1 0.500 0.000 0.500
W2 0.000 0.000 0.000


Record 2
Ba4Sr3Ca: optimized geometry, GGA-PBE.

* calculated formation energy: 11 kJ/mol of formula units
* space group: P4/mmm

a b c (Å): 4.844 4.844 19.560
angles (deg): 90.00 90.00 90.00
Fractional coordinates of all 8 atoms:
Ca1 0.500 0.500 0.000
Sr1 0.500 0.500 0.755
Sr2 0.500 0.500 0.245
Ba1 0.000 0.000 0.117
Ba2 0.000 0.000 0.373
Ba3 0.000 0.000 0.627
Sr3 0.500 0.500 0.500
Ba4 0.000 0.000 0.883


Record 3
PWAu2C: optimized geometry, GGA-PBE.

* calculated formation energy: 781 kJ/mol of formula units
* space group: P4/mmm

a b c (Å): 5.173 3.846 5.173
angles (deg): 90.00 90.00 90.00
Fractional coordinates of all 5 atoms:
Au1 0.000 0.000 0.500
C1 0.000 0.500 0.000
P1 0.500 0.500 0.500
W1 0.000 0.000 0.000
Au2 0.500 0.000 0.000